Entry 1:
SrSmPa2O8: relaxed, GGA-PBE.

Calculated values
**Spin magnetization**: 0.77 μB/f.u.
**Symmetry**: No. 119
**Formation energy from raw total energies**: -3337 meV/atom

```
SrSmPa2O8
1.0
-2.778 2.778 5.426
2.778 -2.778 5.426
2.778 2.778 -5.426
Sr Sm Pa O
1 1 2 8
direct
0.000 0.000 0.000 Sr
0.250 0.750 0.500 Sm
0.500 0.500 0.000 Pa
0.750 0.250 0.500 Pa
0.129 0.146 0.531 O
0.129 0.598 0.982 O
0.402 0.384 0.531 O
0.402 0.871 0.018 O
0.616 0.146 0.018 O
0.616 0.598 0.469 O
0.854 0.384 0.982 O
0.854 0.871 0.469 O
```

---

Entry 2:
SiRu2Rh: relaxed, GGA-PBE.

Calculated values
**Spin magnetization**: 2.54 μB/f.u.
**Symmetry**: No. 216
**Formation energy from raw total energies**: 14 meV/atom

```
SiRu2Rh
1.0
0.000 3.032 3.032
3.032 0.000 3.032
3.032 3.032 0.000
Si Ru Rh
1 2 1
direct
0.000 0.000 0.000 Si
0.500 0.500 0.500 Ru
0.750 0.750 0.750 Ru
0.250 0.250 0.250 Rh
```

---

Entry 3:
ErBeC: relaxed, GGA-PBE.

Calculated values
**Spin magnetization**: 0.00 μB/f.u.
**Energy above the lowest structure with this stoichiometry**: 42.8 kJ/mol of formula units
**Symmetry**: No. 62
**E_form**: -0.158 eV per atom

```
ErBeC
1.0
5.289 0.000 0.000
0.000 3.260 0.000
0.000 0.000 9.550
Er Be C
4 4 4
direct
0.109 0.250 0.140 Er
0.391 0.750 0.640 Er
0.609 0.250 0.360 Er
0.891 0.750 0.860 Er
0.078 0.750 0.428 Be
0.422 0.250 0.928 Be
0.578 0.750 0.072 Be
0.922 0.250 0.572 Be
0.225 0.250 0.480 C
0.275 0.750 0.980 C
0.725 0.250 0.020 C
0.775 0.750 0.520 C
```

---

Entry 4:
Pm2PrAu6: relaxed, GGA-PBE.

Calculated values
**Spin magnetization**: 0.00 μB/f.u.
**Symmetry**: No. 71
**E_form**: -0.717 eV per atom

```
Pm2PrAu6
1.0
-1.877 3.882 7.422
1.877 -3.882 7.422
1.877 3.882 -7.422
Pm Pr Au
2 1 6
direct
0.141 0.141 0.000 Pm
0.859 0.859 0.000 Pm
0.500 0.000 0.500 Pr
0.137 0.324 0.814 Au
0.183 0.500 0.683 Au
0.490 0.676 0.814 Au
0.510 0.324 0.186 Au
0.817 0.500 0.317 Au
0.863 0.676 0.186 Au
```

---

Entry 5:
Ni5PdSe12: relaxed, GGA-PBE.

Calculated values
**Spin magnetization**: 0.00 μB/f.u.
**Symmetry**: No. 12
**Formation energy from raw total energies**: -256 meV/atom

```
Ni5PdSe12
1.0
3.141 -5.434 0.000
3.141 5.434 0.000
-0.356 0.000 10.370
Ni Pd Se
5 1 12
direct
0.000 0.000 0.000 Ni
0.167 0.833 0.500 Ni
0.333 0.667 0.000 Ni
0.667 0.333 0.000 Ni
0.833 0.167 0.500 Ni
0.500 0.500 0.500 Pd
0.010 0.343 0.116 Se
0.146 0.146 0.379 Se
0.154 0.503 0.622 Se
0.323 0.323 0.884 Se
0.343 0.010 0.116 Se
0.497 0.846 0.378 Se
0.503 0.154 0.622 Se
0.657 0.990 0.884 Se
0.677 0.677 0.116 Se
0.846 0.497 0.378 Se
0.854 0.854 0.621 Se
0.990 0.657 0.884 Se
```

---

Entry 6:
HfCrPd: relaxed, GGA-PBE.

Calculated values
**Spin magnetization**: 0.00 μB/f.u.
**Energy above the lowest structure with this stoichiometry**: 28.0 kJ/mol of formula units
**Symmetry**: No. 12
**E_form**: -0.192 eV per atom

```
HfCrPd
1.0
5.284 -1.615 0.000
5.284 1.615 0.000
-4.342 0.000 5.838
Hf Cr Pd
2 2 2
direct
0.097 0.097 0.307 Hf
0.903 0.903 0.693 Hf
0.393 0.393 0.367 Cr
0.607 0.607 0.633 Cr
0.339 0.339 0.944 Pd
0.661 0.661 0.056 Pd
```

---

Entry 7:
Na2AlTl: relaxed, GGA-PBE.

Calculated values
**Spin magnetization**: 0.00 μB/f.u.
**Energy above the lowest structure with this stoichiometry**: 20.4 kJ/mol of formula units
**Symmetry**: No. 225
**E_form**: 0.135 eV per atom

```
Na2AlTl
1.0
0.000 3.731 3.731
3.731 0.000 3.731
3.731 3.731 0.000
Na Al Tl
2 1 1
direct
0.250 0.250 0.250 Na
0.750 0.750 0.750 Na
0.000 0.000 0.000 Al
0.500 0.500 0.500 Tl
```

---

Entry 8:
YAlMo: relaxed, GGA-PBE.

Calculated values
**Spin magnetization**: 2.74 μB/f.u.
**Energy above the lowest structure with this stoichiometry**: 356.9 kJ/mol of formula units
**Symmetry**: No. 216
**E_form**: 1.196 eV per atom

```
YAlMo
1.0
0.000 3.388 3.388
3.388 0.000 3.388
3.388 3.388 0.000
Y Al Mo
1 1 1
direct
0.000 0.000 0.000 Y
0.750 0.750 0.750 Al
0.250 0.250 0.250 Mo
```

---

Entry 9:
Tb9Sm4Hg11: relaxed, GGA-PBE.

Calculated values
**Spin magnetization**: 1.41 μB/f.u.
**Symmetry**: No. 65
**E_form**: -0.376 eV per atom

```
Tb9Sm4Hg11
1.0
7.964 -11.272 0.000
7.964 11.272 0.000
0.000 0.000 3.580
Tb Sm Hg
9 4 11
direct
0.000 0.000 0.000 Tb
0.119 0.650 0.000 Tb
0.295 0.479 0.000 Tb
0.350 0.881 0.000 Tb
0.479 0.295 0.000 Tb
0.521 0.705 0.000 Tb
0.650 0.119 0.000 Tb
0.705 0.521 0.000 Tb
0.881 0.350 0.000 Tb
0.077 0.247 0.000 Sm
0.247 0.077 0.000 Sm
0.753 0.923 0.000 Sm
0.923 0.753 0.000 Sm
0.089 0.448 0.500 Hg
0.131 0.869 0.500 Hg
0.283 0.283 0.500 Hg
0.320 0.680 0.500 Hg
0.448 0.089 0.500 Hg
0.500 0.500 0.500 Hg
0.552 0.911 0.500 Hg
0.680 0.320 0.500 Hg
0.717 0.717 0.500 Hg
0.869 0.131 0.500 Hg
0.911 0.552 0.500 Hg
```

---

Entry 10:
Li10Cd6Hg: relaxed, GGA-PBE.

Calculated values
**Spin magnetization**: 0.00 μB/f.u.
**Symmetry**: No. 162
**E_form**: -0.198 eV per atom

```
Li10Cd6Hg
1.0
8.131 0.000 0.000
-4.066 7.042 0.000
0.000 0.000 5.714
Li Cd Hg
10 6 1
direct
0.000 0.290 0.323 Li
0.000 0.710 0.677 Li
0.290 0.000 0.323 Li
0.290 0.290 0.677 Li
0.333 0.667 0.000 Li
0.333 0.667 0.500 Li
0.667 0.333 0.000 Li
0.667 0.333 0.500 Li
0.710 0.000 0.677 Li
0.710 0.710 0.323 Li
0.000 0.364 0.818 Cd
0.000 0.636 0.182 Cd
0.364 0.000 0.818 Cd
0.364 0.364 0.182 Cd
0.636 0.000 0.182 Cd
0.636 0.636 0.818 Cd
0.000 0.000 0.000 Hg
```